{"formula": "TiGe2O6", "functional": "GGA-PBEsol", "state": "optimized geometry", "lattice_angstrom": [[5.550, 0.049, 0.046], [1.630, 6.489, 0.030], [1.630, 0.374, 6.478]], "species": ["Ti", "Ti", "Ge", "Ge", "Ge", "Ge", "O", "O", "O", "O", "O", "O", "O", "O", "O", "O", "O", "O"], "fractional_positions": [[0.250, 0.102, 0.898], [0.750, 0.898, 0.102], [0.239, 0.621, 0.792], [0.261, 0.208, 0.379], [0.761, 0.379, 0.208], [0.739, 0.792, 0.621], [0.556, 0.608, 0.661], [0.944, 0.339, 0.392], [0.444, 0.392, 0.339], [0.056, 0.661, 0.608], [0.750, 0.913, 0.372], [0.750, 0.628, 0.087], [0.250, 0.087, 0.628], [0.250, 0.372, 0.913], [0.124, 0.827, 0.961], [0.376, 0.039, 0.173], [0.876, 0.173, 0.039], [0.624, 0.961, 0.827]], "e_form_raw_kj_per_mol_atoms": -202, "dos_ef_per_ev_fu": 0.00}

=====

{"formula": "Sn2Rh", "functional": "GGA-PBEsol", "state": "optimized geometry", "lattice_angstrom": [[6.278, 0.000, 0.000], [0.000, 6.289, 0.000], [0.000, -3.145, 6.104]], "species": ["Sn", "Sn", "Sn", "Sn", "Sn", "Sn", "Sn", "Sn", "Rh", "Rh", "Rh", "Rh"], "fractional_positions": [[0.837, 0.663, 0.000], [0.163, 0.337, 0.000], [0.663, 0.163, 0.000], [0.337, 0.837, 0.000], [0.750, 0.505, 0.500], [0.250, 0.995, 0.500], [0.750, 0.005, 0.500], [0.250, 0.495, 0.500], [0.500, 0.382, 0.765], [0.000, 0.882, 0.765], [0.500, 0.618, 0.235], [0.000, 0.118, 0.235]], "ef_ev_per_atom": -0.447, "dos_ef_per_ev_fu": 0.99}

=====

{"formula": "SmHoRu2", "functional": "GGA-PBEsol", "state": "optimized geometry", "lattice_angstrom": [[4.763, 0.000, 0.000], [2.381, 4.125, 0.000], [2.381, 1.375, 3.889]], "species": ["Ru", "Ru", "Ho", "Sm"], "fractional_positions": [[0.750, 0.750, 0.750], [0.250, 0.250, 0.250], [0.500, 0.500, 0.500], [0.000, 0.000, 0.000]], "ef_ev_per_atom": -0.192, "dos_ef_per_ev_fu": 3.57}

=====

{"formula": "LiCrIn2", "functional": "GGA-PBEsol", "state": "optimized geometry", "lattice_angstrom": [[-3.294, -0.145, 0.500], [-0.461, -0.613, -3.219], [0.453, -6.359, 1.146]], "species": ["Cr", "In", "In", "Li"], "fractional_positions": [[0.500, 0.500, 0.500], [0.000, 0.000, 0.751], [0.000, 0.000, 0.249], [0.500, 0.500, 0.000]], "ef_ev_per_atom": 0.068, "dos_ef_per_ev_fu": 2.50}